[1]
Compound: CsMgAs
Source: the Alexandria database
Functional: PBE
Structure: optimized geometry

Cell: 12.528 6.419 7.538 Å, 90.00 90.00 90.00°
Space group Pnma (No. 62)
Symmetry-distinct sites (fractional):
Cs1 0.152 0.250 0.025 x4
Mg1 0.000 0.000 0.500 x4
As1 0.084 0.750 0.288 x4

For the formation energy, the calculation gives -1.12 eV/f.u. The total energy is -32.88 eV for the cell shown. Its density of states at the Fermi level is 0.00 states/eV/cell.

[2]
Compound: CsMgAs
Source: the Alexandria database
Functional: PBE
Structure: optimized geometry

Cell: 3.900 3.900 13.304 Å, 90.00 90.00 90.00°
Space group I4mm (No. 107)
Symmetry-distinct sites (fractional):
Cs1 0.000 0.000 0.000 x2
Mg1 0.000 0.000 0.253 x2
As1 0.000 0.000 0.725 x2

For the formation energy, the calculation gives -0.74 eV/f.u. The total energy is -15.67 eV for the cell shown. Its density of states at the Fermi level is 2.39 states/eV/cell.